Computed, not measured: a relaxed Er2HfMg crystal at the PBE-GGA level of DFT.

Lattice parameters (Å, degrees): 11.1831 11.1831 11.1831 17.20 17.20 17.20
Positions (direct):
Er1 0.0000 0.0000 0.0000
Er2 0.1749 0.1749 0.1749
Hf1 0.5875 0.5875 0.5875
Mg1 0.4208 0.4208 0.4208

Values from the calculation:
N(E_F) in states/eV per atom: 1.193
E above lowest polymorph in kJ per mole of atoms: 7.0
ρ in kg/m³: 8362
Energy of formation in kJ/mol of formula units: 30